(1)
{"formula": "CaIn2B2O6", "functional": "GGA-PBE", "state": "optimized geometry", "magnetic_moment_mub_per_cell": 0.00, "space_group": "P-3", "crystal_system": "trigonal", "e_form_raw_ev_per_atom": -2.080, "dos_at_fermi_per_ev_cell": 0.17, "cell": [[-1.4960, 0.1442, -4.8040], [-2.9498, -2.1069, 3.4924], [-3.3166, 6.6882, 1.2336]], "species": ["O", "O", "O", "O", "O", "O", "In", "In", "B", "B", "Ca"], "frac_coords": [[0.6700, 0.6099, 0.1990], [0.3901, 0.0601, 0.1990], [0.6099, 0.9399, 0.8010], [0.3300, 0.3901, 0.8010], [0.9399, 0.3300, 0.1990], [0.0601, 0.6700, 0.8010], [0.6667, 0.3333, 0.6618], [0.3333, 0.6667, 0.3382], [0.6667, 0.3333, 0.2006], [0.3333, 0.6667, 0.7994], [0.0000, 0.0000, 0.0000]]}

***

(2)
{"formula": "SnAsSe2F", "functional": "GGA-PBE", "state": "optimized geometry", "magnetic_moment_mub_per_cell": 0.33, "relative_energy_mev_per_atom": 465.5, "space_group": "P4/mmm", "crystal_system": "tetragonal", "e_form_raw_ev_per_atom": 0.510, "dos_at_fermi_per_ev_cell": 7.40, "cell": [[-0.0870, -1.1711, -5.0982], [1.4284, -4.9105, 1.1036], [-5.2496, -1.4329, 0.4187]], "species": ["As", "Se", "Se", "F", "Sn"], "frac_coords": [[0.0000, 0.0000, 0.5000], [0.5000, 0.0000, 0.0000], [0.0000, 0.5000, 0.0000], [0.5000, 0.5000, 0.5000], [0.0000, 0.0000, 0.0000]]}

***

(3)
{"formula": "ErSiPd5", "functional": "GGA-PBE", "state": "optimized geometry", "magnetic_moment_mub_per_cell": 0.00, "relative_energy_mev_per_atom": 0.0, "space_group": "P4/mmm", "crystal_system": "tetragonal", "e_form_raw_ev_per_atom": -0.839, "dos_at_fermi_per_ev_cell": 1.59, "cell": [[-2.8383, -2.4606, -1.4580], [1.4719, -3.0178, 2.2277], [-4.3394, 1.8343, 5.3519]], "species": ["Pd", "Pd", "Pd", "Pd", "Pd", "Er", "Si"], "frac_coords": [[0.0000, 0.5000, 0.2004], [0.5000, 0.0000, 0.7996], [0.0000, 0.5000, 0.7996], [0.5000, 0.5000, 0.5000], [0.5000, 0.0000, 0.2004], [0.0000, 0.0000, 0.5000], [0.5000, 0.5000, 0.0000]]}

***

(4)
{"formula": "Mg3BiN", "functional": "GGA-PBE", "state": "optimized geometry", "magnetic_moment_mub_per_cell": 0.00, "space_group": "Amm2", "crystal_system": "orthorhombic", "e_form_raw_ev_per_atom": -0.221, "dos_at_fermi_per_ev_cell": 1.46, "cell": [[3.2651, 0.0000, 0.0000], [0.0000, 4.1232, -4.0142], [0.0000, 4.1232, 4.0142]], "species": ["N", "Mg", "Mg", "Mg", "Bi"], "frac_coords": [[0.0000, 0.4706, 0.5294], [0.0000, 0.2163, 0.7837], [0.5000, 0.3612, 0.3184], [0.5000, 0.6816, 0.6388], [0.5000, 0.8983, 0.1017]]}